Compound: CrGaSb2I
Source: Alexandria via LeMat-Bulk
Functional: SCAN
Structure: single point on PBEsol structure

POSCAR file:
```
CrGaSb2I
1.0
4.936 0.000 0.000
0.000 4.936 0.000
0.000 0.000 5.808
Cr Ga Sb I
1 1 2 1
direct
0.000 0.000 0.000
0.500 0.500 0.500
0.000 0.500 0.000
0.500 0.000 0.000
0.000 0.000 0.500
```

## Properties
- E_tot: -28.8423 eV/atom
- Calculated volume: 28.306 A^3/atom
- SG: P4/mmm (123)

Compound: LiEr2Tc
Source: Alexandria via LeMat-Bulk
Functional: SCAN
Structure: single point on PBEsol structure

POSCAR file:
```
LiEr2Tc
1.0
0.000 3.400 3.400
3.400 0.000 3.400
3.400 3.400 0.000
Li Er Tc
1 2 1
direct
0.000 0.000 0.000
0.250 0.250 0.250
0.750 0.750 0.750
0.500 0.500 0.500
```

## Properties
- Energy relative to the elements: -0.0995 eV per atom
- E_tot: -34.6321 eV/atom
- Calculated volume: 19.655 A^3/atom
- SG: Fm-3m (225)

Compound: HfNbC3
Source: Alexandria via LeMat-Bulk
Functional: SCAN
Structure: single point on PBEsol structure

POSCAR file:
```
HfNbC3
1.0
4.062 0.000 0.000
0.000 4.062 0.000
0.000 0.000 4.062
Hf Nb C
1 1 3
direct
0.000 0.000 0.000
0.500 0.500 0.500
0.000 0.000 0.500
0.000 0.500 0.000
0.500 0.000 0.000
```

## Properties
- Energy relative to the elements: 1.8826 eV per atom
- E_tot: -23.3379 eV/atom
- Calculated volume: 13.404 A^3/atom
- SG: Pm-3m (221)

Compound: Ca3IrBr
Source: Alexandria via LeMat-Bulk
Functional: SCAN
Structure: single point on PBEsol structure

POSCAR file:
```
Ca3IrBr
1.0
5.441 0.000 0.000
0.000 5.441 0.000
0.000 0.000 5.441
Ca Ir Br
3 1 1
direct
0.000 0.000 0.500
0.000 0.500 0.000
0.500 0.000 0.000
0.000 0.000 0.000
0.500 0.500 0.500
```

## Properties
- E_tot: -24.4915 eV/atom
- Calculated volume: 32.221 A^3/atom
- SG: Pm-3m (221)

Compound: Cs2Hg2Br
Source: Alexandria via LeMat-Bulk
Functional: SCAN
Structure: single point on PBEsol structure

POSCAR file:
```
Cs2Hg2Br
1.0
-2.167 2.167 10.273
2.167 -2.167 10.273
2.167 2.167 -10.273
Cs Hg Br
2 2 1
direct
0.100 0.100 0.000
0.900 0.900 0.000
0.250 0.750 0.500
0.750 0.250 0.500
0.500 0.500 0.000
```

## Properties
- E_tot: -47.2257 eV/atom
- Calculated volume: 38.605 A^3/atom
- SG: I4/mmm (139)

Compound: K3GaSb
Source: Alexandria via LeMat-Bulk
Functional: SCAN
Structure: single point on PBEsol structure

POSCAR file:
```
K3GaSb
1.0
6.080 0.000 0.000
0.000 6.080 0.000
0.000 0.000 6.080
K Ga Sb
3 1 1
direct
0.000 0.000 0.500
0.000 0.500 0.000
0.500 0.000 0.000
0.000 0.000 0.000
0.500 0.500 0.500
```

## Properties
- E_tot: -15.4104 eV/atom
- Calculated volume: 44.950 A^3/atom
- SG: Pm-3m (221)

Compound: CuPt
Source: Alexandria via LeMat-Bulk
Functional: SCAN
Structure: single point on PBEsol structure

POSCAR file:
```
CuPt
1.0
3.738 0.000 0.000
0.000 5.350 0.000
0.000 0.000 8.018
Cu Pt
6 6
direct
0.000 0.000 0.000
0.000 0.000 0.340
0.000 0.000 0.660
0.000 0.500 0.000
0.500 0.241 0.500
0.500 0.759 0.500
0.000 0.500 0.338
0.000 0.500 0.662
0.500 0.247 0.168
0.500 0.247 0.832
0.500 0.753 0.168
0.500 0.753 0.832
```

## Properties
- Energy relative to the elements: -0.1056 eV per atom
- E_tot: -42.8018 eV/atom
- Calculated volume: 13.359 A^3/atom
- SG: Pmmm (47)

Compound: LaCu2Pt
Source: Alexandria via LeMat-Bulk
Functional: SCAN
Structure: single point on PBEsol structure

POSCAR file:
```
LaCu2Pt
1.0
3.339 0.000 0.000
0.000 3.339 0.000
0.000 0.000 6.327
La Cu Pt
1 2 1
direct
0.000 0.000 0.000
0.000 0.000 0.498
0.500 0.500 0.326
0.500 0.500 0.716
```

## Properties
- Energy relative to the elements: -0.3036 eV per atom
- E_tot: -36.2278 eV/atom
- Calculated volume: 17.632 A^3/atom
- Energy above the lowest structure with this stoichiometry: 112.3 kJ/mol of formula units
- SG: P4mm (99)

Compound: LiMgSe
Source: Alexandria via LeMat-Bulk
Functional: SCAN
Structure: single point on PBEsol structure

POSCAR file:
```
LiMgSe
1.0
3.879 0.000 0.000
-1.939 3.359 0.000
0.000 0.000 5.299
Li Mg Se
1 1 1
direct
0.000 0.000 0.000
0.667 0.333 0.490
0.333 0.667 0.231
```

## Properties
- E_tot: -9.9584 eV/atom
- Calculated volume: 23.017 A^3/atom
- SG: P3m1 (156)

Compound: Li2NiRu
Source: Alexandria via LeMat-Bulk
Functional: SCAN
Structure: single point on PBEsol structure

POSCAR file:
```
Li2NiRu
1.0
-1.251 2.176 4.398
1.251 -2.176 4.398
1.251 2.176 -4.398
Li Ni Ru
2 1 1
direct
0.236 0.236 0.000
0.764 0.764 0.000
0.000 0.500 0.500
0.500 0.000 0.500
```

## Properties
- Energy relative to the elements: 0.0431 eV per atom
- E_tot: -13.9017 eV/atom
- Calculated volume: 11.966 A^3/atom
- Energy above the lowest structure with this stoichiometry: 0.0 kJ/mol of formula units
- SG: Immm (71)

Compound: YSiGe2As
Source: Alexandria via LeMat-Bulk
Functional: SCAN
Structure: single point on PBEsol structure

POSCAR file:
```
YSiGe2As
1.0
5.267 0.000 0.000
0.000 5.267 0.000
0.000 0.000 5.227
Y Si Ge As
1 1 2 1
direct
0.000 0.000 0.000
0.500 0.500 0.500
0.000 0.500 0.000
0.500 0.000 0.000
0.000 0.000 0.500
```

## Properties
- E_tot: -18.1525 eV/atom
- Calculated volume: 29.006 A^3/atom
- SG: P4/mmm (123)

Compound: KEuO2
Source: Alexandria via LeMat-Bulk
Functional: SCAN
Structure: single point on PBEsol structure

POSCAR file:
```
KEuO2
1.0
1.765 1.019 6.154
-1.765 1.019 6.154
0.000 -2.038 6.154
K Eu O
1 1 2
direct
0.000 0.000 0.000
0.500 0.500 0.500
0.230 0.230 0.230
0.770 0.770 0.770
```

## Properties
- E_tot: -21.1230 eV/atom
- Calculated volume: 16.593 A^3/atom
- SG: R-3m (166)

Compound: KMgGaSn2
Source: Alexandria via LeMat-Bulk
Functional: SCAN
Structure: single point on PBEsol structure

POSCAR file:
```
KMgGaSn2
1.0
5.437 0.000 0.000
0.000 5.437 0.000
0.000 0.000 5.297
K Mg Ga Sn
1 1 1 2
direct
0.000 0.000 0.000
0.500 0.500 0.500
0.500 0.500 0.000
0.000 0.500 0.500
0.500 0.000 0.500
```

## Properties
- Energy relative to the elements: 0.1675 eV per atom
- E_tot: -20.1307 eV/atom
- Calculated volume: 31.313 A^3/atom
- SG: P4/mmm (123)

Compound: BeIr2W
Source: Alexandria via LeMat-Bulk
Functional: SCAN
Structure: single point on PBEsol structure

POSCAR file:
```
BeIr2W
1.0
2.729 0.000 0.000
0.000 3.947 0.000
-1.362 0.000 4.966
Be Ir W
1 2 1
direct
0.000 0.000 0.000
0.114 0.500 0.223
0.764 0.000 0.523
0.384 0.500 0.765
```

## Properties
- Energy relative to the elements: -0.2345 eV per atom
- E_tot: -54.2944 eV/atom
- Calculated volume: 13.372 A^3/atom
- SG: Pm (6)

Compound: SrMgCu3
Source: Alexandria via LeMat-Bulk
Functional: SCAN
Structure: single point on PBEsol structure

POSCAR file:
```
SrMgCu3
1.0
4.729 0.000 0.000
0.000 4.729 0.000
0.000 0.000 4.729
Sr Mg Cu
1 1 3
direct
0.000 0.000 0.000
0.500 0.500 0.500
0.000 0.500 0.500
0.500 0.000 0.500
0.500 0.500 0.000
```

## Properties
- Energy relative to the elements: 0.4042 eV per atom
- E_tot: -14.1652 eV/atom
- Calculated volume: 21.157 A^3/atom
- SG: Pm-3m (221)

Compound: TeRhW2
Source: Alexandria via LeMat-Bulk
Functional: SCAN
Structure: single point on PBEsol structure

POSCAR file:
```
TeRhW2
1.0
1.554 0.897 8.298
-1.554 0.897 8.298
0.000 -1.794 8.298
Te Rh W
1 1 2
direct
0.000 0.000 0.000
0.244 0.244 0.244
0.499 0.499 0.499
0.757 0.757 0.757
```

## Properties
- E_tot: -52.1785 eV/atom
- Calculated volume: 17.355 A^3/atom
- SG: R3m (160)

Compound: BeFe3Ir
Source: Alexandria via LeMat-Bulk
Functional: SCAN
Structure: single point on PBEsol structure

POSCAR file:
```
BeFe3Ir
1.0
3.835 0.000 0.000
0.000 3.835 0.000
0.000 0.000 3.835
Be Fe Ir
1 3 1
direct
0.000 0.000 0.000
0.000 0.000 0.500
0.000 0.500 0.000
0.500 0.000 0.000
0.500 0.500 0.500
```

## Properties
- Energy relative to the elements: 0.4705 eV per atom
- E_tot: -25.4978 eV/atom
- Calculated volume: 11.283 A^3/atom
- SG: Pm-3m (221)

Compound: Sn2BiAsC
Source: Alexandria via LeMat-Bulk
Functional: SCAN
Structure: single point on PBEsol structure

POSCAR file:
```
Sn2BiAsC
1.0
5.643 0.000 0.000
0.000 5.643 0.000
0.000 0.000 3.764
Sn Bi As C
2 1 1 1
direct
0.000 0.500 0.000
0.500 0.000 0.000
0.000 0.000 0.500
0.500 0.500 0.000
0.500 0.500 0.500
```

## Properties
- Energy relative to the elements: 1.0254 eV per atom
- E_tot: -35.1170 eV/atom
- Calculated volume: 23.970 A^3/atom
- SG: P4/mmm (123)

Compound: Zr2BeTc
Source: Alexandria via LeMat-Bulk
Functional: SCAN
Structure: single point on PBEsol structure

POSCAR file:
```
Zr2BeTc
1.0
3.319 0.000 0.000
0.000 4.151 0.000
-1.038 0.000 4.914
Zr Be Tc
2 1 1
direct
0.000 0.000 0.000
0.187 0.500 0.567
0.545 0.500 0.132
0.635 0.000 0.440
```

## Properties
- Energy relative to the elements: -0.2276 eV per atom
- E_tot: -25.4303 eV/atom
- Calculated volume: 16.929 A^3/atom
- SG: Pm (6)

Compound: Cr2OsCl
Source: Alexandria via LeMat-Bulk
Functional: SCAN
Structure: single point on PBEsol structure

POSCAR file:
```
Cr2OsCl
1.0
3.592 -1.410 0.000
3.592 1.410 0.000
-3.434 0.000 6.568
Cr Os Cl
2 1 1
direct
0.174 0.174 0.304
0.826 0.826 0.696
0.000 0.000 0.500
0.500 0.500 0.000
```

## Properties
- E_tot: -28.9504 eV/atom
- Calculated volume: 16.636 A^3/atom
- Energy above the lowest structure with this stoichiometry: 0.0 kJ/mol of formula units
- SG: C2/m (12)